VASP calculation (PBE) on a relaxed structure of CeHo4PbS8.

Computed properties:
energy relative to the elements, uncorrected = -1742.0 meV/atom
electronic total energy = -85.36 eV/f.u.

Cell lengths 8.0911, 8.0911, 8.2638 Å; angles 60.69, 60.69, 60.00 degrees
Closest atoms and distances in Å follow each position.
Sites, in units of the cell vectors:
1 Ce 0.0018 0.0018 0.9947  6 S 2.81-2.90
2 Ho 0.6261 0.6261 0.1218  4 S 2.63-2.69
3 Ho 0.0015 0.4957 0.5014  6 S 2.69-2.82
4 Ho 0.4957 0.0015 0.5014  6 S 2.69-2.82
5 Ho 0.0015 0.0015 0.5014  6 S 2.69-2.82
6 Pb 0.3725 0.3725 0.8825  4 S 2.76-2.83
7 S 0.2436 0.7883 0.7244  2 Ho 2.69, 1 Pb 2.76, 1 Ce 2.81
8 S 0.7883 0.2436 0.7244  2 Ho 2.69, 1 Pb 2.76, 1 Ce 2.81
9 S 0.2436 0.2436 0.7244  2 Ho 2.69, 1 Pb 2.76, 1 Ce 2.81
10 S 0.2343 0.2343 0.2971  3 Ho 2.70, 1 Pb 2.83
11 S 0.7516 0.2305 0.2663  3 Ho 2.63-2.81, 1 Ce 2.90
12 S 0.2305 0.7516 0.2663  3 Ho 2.63-2.81, 1 Ce 2.90
13 S 0.7516 0.7516 0.2663  3 Ho 2.63-2.81, 1 Ce 2.90
14 S 0.7574 0.7574 0.7277  4 Ho 2.69-2.82